Below is a relaxed Nd5RuAu4 crystal, with properties calculated at the GGA-PBE level.

Lattice parameters (Å, degrees): 3.642 3.642 18.756 90.00 90.00 90.00
Fractional coordinates of all 10 atoms:
Nd: 0.500 0.500 0.091
Nd: 0.500 0.500 0.296
Nd: 0.500 0.500 0.500
Nd: 0.500 0.500 0.704
Nd: 0.500 0.500 0.909
Ru: 0.000 0.000 0.000
Au: 0.000 0.000 0.195
Au: 0.000 0.000 0.399
Au: 0.000 0.000 0.601
Au: 0.000 0.000 0.805

Calculated values
magnetic moment	0.0	μB per formula unit
ΔE_f	-0.6396	eV per atom
space group	No. 123
D(E_F)	7.55	states/eV/f.u.

Below is a relaxed LiInAg2 crystal, with properties calculated at the GGA-PBE level.

Lattice parameters (Å, degrees): 4.351 4.357 3.882 90.00 90.00 90.00
Fractional coordinates of all 4 atoms:
Li: 0.000 0.500 0.500
Ag: 0.000 0.000 0.000
Ag: 0.500 0.500 0.000
In: 0.500 0.000 0.500

Calculated values
magnetic moment	0.0	μB per formula unit
ΔE_f	-0.1731	eV per atom
space group	No. 123
D(E_F)	1.17	states/eV/f.u.